# 1
The following is a DFT calculation (PBE-GGA) of an optimized crystal structure of Rb2SrPdO4.

```
data_Rb2SrPdO4
_space_group_name_H-M_alt 'F d d d'
_space_group_IT_number 70
_cell_length_a 6.504
_cell_length_b 14.300
_cell_length_c 23.435
_cell_angle_alpha 90.00
_cell_angle_beta 90.00
_cell_angle_gamma 90.00
loop_
_space_group_symop_operation_xyz
'x,y,z'
'-x,-y,-z'
'-x+1/4,-y+1/4,z'
'x+1/4,y+1/4,-z'
'x,-y+1/4,-z+1/4'
'-x,y+1/4,z+1/4'
'-x+1/4,y,-z+1/4'
'x+1/4,-y,z+1/4'
'x,y+1/2,z+1/2'
'-x,-y+1/2,-z+1/2'
'-x+1/4,-y+3/4,z+1/2'
'x+1/4,y+3/4,-z+1/2'
'x,-y+3/4,-z+3/4'
'-x,y+3/4,z+3/4'
'-x+1/4,y+1/2,-z+3/4'
'x+1/4,-y+1/2,z+3/4'
'x+1/2,y,z+1/2'
'-x+1/2,-y,-z+1/2'
'-x+3/4,-y+1/4,z+1/2'
'x+3/4,y+1/4,-z+1/2'
'x+1/2,-y+1/4,-z+3/4'
'-x+1/2,y+1/4,z+3/4'
'-x+3/4,y,-z+3/4'
'x+3/4,-y,z+3/4'
'x+1/2,y+1/2,z'
'-x+1/2,-y+1/2,-z'
'-x+3/4,-y+3/4,z'
'x+3/4,y+3/4,-z'
'x+1/2,-y+3/4,-z+1/4'
'-x+1/2,y+3/4,z+1/4'
'-x+3/4,y+1/2,-z+1/4'
'x+3/4,-y+1/2,z+1/4'
loop_
_atom_site_label
_atom_site_type_symbol
_atom_site_fract_x
_atom_site_fract_y
_atom_site_fract_z
Rb1 Rb 0.125 0.125 0.320
Sr1 Sr 0.125 0.125 0.125
Pd1 Pd 0.125 0.125 0.625
O1 O 0.087 0.277 0.867
```

Calculated values
- volume (A^3/atom) = 34.060
- calculated total energy (eV/atom) = -4.62
- spin magnetization (μB per atom) = 0.254
- theoretical density (Mg/m³) = 2.6
- crystal system = orthorhombic



# 2
The following is a DFT calculation (PBE-GGA) of an optimized crystal structure of ScGa3Ir4.

```
data_ScGa3Ir4
_space_group_name_H-M_alt 'P 4/m m m'
_space_group_IT_number 123
_space_group_name_Hall '-P 4 2'
_cell_length_a 4.251
_cell_length_b 4.251
_cell_length_c 6.580
_cell_angle_alpha 90.00
_cell_angle_beta 90.00
_cell_angle_gamma 90.00
loop_
_atom_site_label
_atom_site_type_symbol
_atom_site_fract_x
_atom_site_fract_y
_atom_site_fract_z
Sc1 Sc 0.000 0.000 0.000
Ga1 Ga 0.000 0.000 0.500
Ga2 Ga 0.500 0.500 0.000
Ga3 Ga 0.500 0.500 0.500
Ir1 Ir 0.000 0.500 0.265
```

Calculated values
- volume (A^3/atom) = 14.862
- calculated total energy (eV/atom) = -6.97
- spin magnetization (μB per atom) = 0.000
- theoretical density (Mg/m³) = 14.3
- crystal system = tetragonal



# 3
The following is a DFT calculation (PBE-GGA) of an optimized crystal structure of La2Tb2YTm.

```
data_La2Tb2YTm
_space_group_name_H-M_alt 'P m m a'
_space_group_IT_number 51
_cell_length_a 7.097
_cell_length_b 5.687
_cell_length_c 9.899
_cell_angle_alpha 90.00
_cell_angle_beta 90.00
_cell_angle_gamma 90.00
loop_
_space_group_symop_operation_xyz
'x,y,z'
'-x,-y,-z'
'-x+1/2,-y,z'
'x+1/2,y,-z'
'x+1/2,-y,-z'
'-x+1/2,y,z'
'-x,y,-z'
'x,-y,z'
loop_
_atom_site_label
_atom_site_type_symbol
_atom_site_fract_x
_atom_site_fract_y
_atom_site_fract_z
La1 La 0.000 0.000 0.000
La2 La 0.250 0.500 0.175
Tb1 Tb 0.250 0.000 0.334
Tb2 Tb 0.250 0.500 0.833
Y1 Y 0.000 0.500 0.500
Tm1 Tm 0.250 0.000 0.659
```

Calculated values
- volume (A^3/atom) = 33.291
- calculated total energy (eV/atom) = -4.95
- spin magnetization (μB per atom) = 0.000
- theoretical density (Mg/m³) = 7.1
- crystal system = orthorhombic



# 4
The following is a DFT calculation (PBE-GGA) of an optimized crystal structure of Tc2BiBr.

```
data_Tc2BiBr
_space_group_name_H-M_alt 'F m -3 m'
_space_group_IT_number 225
_space_group_name_Hall '-F 4 2 3'
_cell_length_a 6.636
_cell_length_b 6.636
_cell_length_c 6.636
_cell_angle_alpha 90.00
_cell_angle_beta 90.00
_cell_angle_gamma 90.00
loop_
_atom_site_label
_atom_site_type_symbol
_atom_site_fract_x
_atom_site_fract_y
_atom_site_fract_z
Tc1 Tc 0.250 0.250 0.250
Bi1 Bi 0.000 0.000 0.000
Br1 Br 0.000 0.000 0.500
```

Calculated values
- volume (A^3/atom) = 18.267
- spin magnetization (μB per atom) = 0.000
- theoretical density (Mg/m³) = 11.0
- distance to the lowest polymorph of the same formula (eV per atom) = 0.000
- crystal system = cubic



# 5
The following is a DFT calculation (PBE-GGA) of an optimized crystal structure of CeDyPuN3.

```
data_CeDyPuN3
_space_group_name_H-M_alt 'P 1 21/m 1'
_space_group_IT_number 11
_cell_length_a 5.947
_cell_length_b 3.386
_cell_length_c 9.425
_cell_angle_alpha 90.00
_cell_angle_beta 94.12
_cell_angle_gamma 90.00
loop_
_space_group_symop_operation_xyz
'x,y,z'
'-x,-y,-z'
'-x,y+1/2,-z'
'x,-y+1/2,z'
loop_
_atom_site_label
_atom_site_type_symbol
_atom_site_fract_x
_atom_site_fract_y
_atom_site_fract_z
Ce1 Ce 0.219 0.250 0.235
Dy1 Dy 0.258 0.750 0.556
Pu1 Pu 0.316 0.250 0.877
N1 N 0.017 0.250 0.662
N2 N 0.296 0.750 0.038
N3 N 0.483 0.750 0.347
```

Calculated values
- volume (A^3/atom) = 15.777
- calculated total energy (eV/atom) = -9.61
- spin magnetization (μB per atom) = 0.983
- theoretical density (Mg/m³) = 10.3
- crystal system = monoclinic



# 6
The following is a DFT calculation (PBE-GGA) of an optimized crystal structure of La3Mg2Zn9.

```
data_La3Mg2Zn9
_space_group_name_H-M_alt 'I m m m'
_space_group_IT_number 71
_space_group_name_Hall '-I 2 2'
_cell_length_a 4.611
_cell_length_b 9.034
_cell_length_c 13.915
_cell_angle_alpha 90.00
_cell_angle_beta 90.00
_cell_angle_gamma 90.00
loop_
_atom_site_label
_atom_site_type_symbol
_atom_site_fract_x
_atom_site_fract_y
_atom_site_fract_z
La1 La 0.000 0.000 0.000
La2 La 0.000 0.000 0.291
Mg1 Mg 0.000 0.184 0.500
Zn1 Zn 0.000 0.282 0.140
Zn2 Zn 0.000 0.359 0.338
Zn3 Zn 0.000 0.500 0.000
```

Calculated values
- volume (A^3/atom) = 20.702
- calculated total energy (eV/atom) = -2.43
- spin magnetization (μB per atom) = 0.000
- theoretical density (Mg/m³) = 6.0
- crystal system = orthorhombic